HfVOF2 | the Alexandria database | GGA+U | relaxed; total DFT energy (no corrections) = -6.64 eV/atom; calculated density = 6.994 g/cm3; total magnetization = 4.654 μB/cell
1.0
3.9770 0.0000 0.0000
0.0000 3.9770 0.0000
0.0000 0.0000 4.2546
Hf V O F
1 1 1 2
direct
0.0000 0.0000 0.0000
0.5000 0.5000 0.5000
0.5000 0.5000 0.0000
0.0000 0.5000 0.5000
0.5000 0.0000 0.5000